The following is a PBE calculation of a relaxed MgCrPt2 crystal, from the Alexandria database.

Calculated values
DFT total energy: -6.29 eV per atom

Unit cell a=2.7938 b=2.7938 c=7.5822 alpha=90.00 beta=90.00 gamma=90.00
Last column: nearest neighbours and their distance in Å.
Space group P4/mmm (No. 123)
Inequivalent atoms, fractional coordinates:
Mg: 0.0000 0.0000 0.0000 [1 per cell]  4 Mg 2.79, 8 Pt 2.83
Cr: 0.0000 0.0000 0.5000 [1 per cell]  8 Pt 2.65, 4 Cr 2.79
Pt: 0.5000 0.5000 0.2667 [2 per cell]  4 Cr 2.65, 4 Pt 2.79, 4 Mg 2.83

The following is a PBE calculation of a relaxed MgCrPt crystal, from the Alexandria database.

Calculated values
DFT total energy: -5.83 eV per atom

Unit cell a=2.8092 b=2.8092 c=11.5065 alpha=90.00 beta=90.00 gamma=90.00
Last column: nearest neighbours and their distance in Å.
Space group I4mm (No. 107)
Inequivalent atoms, fractional coordinates:
Mg: 0.0000 0.0000 0.0000 [2 per cell]  4 Mg 2.81, 4 Pt 2.83, 4 Cr 2.87
Cr: 0.0000 0.0000 0.3206 [2 per cell]  4 Pt 2.60, 4 Cr 2.81, 4 Mg 2.87
Pt: 0.0000 0.0000 0.6754 [2 per cell]  4 Cr 2.60, 4 Pt 2.81, 4 Mg 2.83

The following is a PBE calculation of a relaxed MgCrPt crystal, from the Alexandria database.

Calculated values
DFT total energy: -6.11 eV per atom

Unit cell a=2.9034 b=14.2661 c=4.5435 alpha=90.00 beta=90.00 gamma=90.00
Last column: nearest neighbours and their distance in Å.
Space group Amm2 (No. 38)
Inequivalent atoms, fractional coordinates:
Mg: 0.0000 0.1824 0.0000 [4 per cell]  6 Pt 2.74-2.86, 4 Mg 2.90-2.98, 3 Cr 2.98-3.01
Cr: 0.0000 0.0000 0.6800 [2 per cell]  2 Cr 2.39, 4 Pt 2.65
Cr: 0.5000 0.0000 0.0980 [2 per cell]  2 Cr 2.39
Pt: 0.5000 0.1445 0.4975 [4 per cell]  3 Cr 2.65-2.75, 6 Mg 2.74-2.86, 2 Pt 2.90

The following is a PBE calculation of a relaxed MgCrPt2 crystal, from the Alexandria database.

Calculated values
DFT total energy: -5.91 eV per atom

Unit cell a=7.0359 b=7.0359 c=5.5347 alpha=90.00 beta=90.00 gamma=90.00
Last column: nearest neighbours and their distance in Å.
Space group I-42d (No. 122)
Inequivalent atoms, fractional coordinates:
Mg: 0.0000 0.0000 0.0000 [4 per cell]  4 Pt 2.66, 2 Cr 2.77
Cr: 0.0000 0.0000 0.5000 [4 per cell]  4 Pt 2.51, 2 Mg 2.77
Pt: 0.2339 0.7500 0.6250 [8 per cell]  2 Cr 2.51, 2 Mg 2.66, 2 Pt 2.78